Compound: Ac2Au
Source: the Alexandria database
Functional: GGA-PBE
Structure: optimized geometry

Lattice parameters (Å, degrees): 4.138 9.796 10.742 90.00 90.00 90.00
Positions (direct):
Ac 0.750 0.995 0.820
Ac 0.250 0.168 0.526
Ac 0.750 0.832 0.474
Ac 0.250 0.505 0.320
Ac 0.750 0.495 0.680
Ac 0.750 0.332 0.026
Ac 0.250 0.668 0.974
Ac 0.250 0.005 0.180
Au 0.250 0.273 0.810
Au 0.250 0.773 0.690
Au 0.750 0.227 0.310
Au 0.750 0.727 0.190

Results
The total energy comes out at -4.370 eV/atom. As for the density of states at the Fermi level: 13.5 states/eV per cell. For the relative energy among the computed polymorphs, the calculation gives 0.0000 eV per atom. The spin magnetization is 0.00 μB/cell. As for the space group: Pnma (62).